1.
The following is a PBE-GGA calculation of a relaxed SiIr2Au crystal, from Alexandria.

Cell: 3.6642 4.0238 4.0238 Å, 90.00 90.00 90.00°
Element x y z (fractional)
Au 0.5000 0.0000 0.5000
Ir 0.0000 0.0000 0.0000
Ir 0.0000 0.5000 0.5000
Si 0.5000 0.5000 0.0000

Results
E_form (uncorrected) = 0.0896 eV/atom

=====

2.
The following is a PBE-GGA calculation of a relaxed LiCd2Se crystal, from Alexandria.

Cell: 5.0050 5.0050 5.0050 Å, 60.00 60.00 60.00°
Element x y z (fractional)
Cd 0.0000 0.0000 0.0000
Cd 0.7500 0.7500 0.7500
Li 0.5000 0.5000 0.5000
Se 0.2500 0.2500 0.2500

Results
E_form (uncorrected) = -0.2302 eV/atom

=====

3.
The following is a PBE-GGA calculation of a relaxed TcPbW2 crystal, from Alexandria.

Cell: 9.7433 9.7433 9.7433 Å, 17.35 17.35 17.35°
Element x y z (fractional)
Pb 0.2500 0.2500 0.2500
Tc 0.7500 0.7500 0.7500
W 0.0085 0.0085 0.0085
W 0.4915 0.4915 0.4915

Results
formation energy from the elements = 0.727 eV per atom

=====

4.
The following is a PBE-GGA calculation of a relaxed MgZr2Br crystal, from Alexandria.

Cell: 10.0711 10.0711 10.0711 Å, 18.47 18.47 18.47°
Element x y z (fractional)
Br 0.7500 0.7500 0.7500
Mg 0.2500 0.2500 0.2500
Zr 0.0058 0.0058 0.0058
Zr 0.4942 0.4942 0.4942

Results
relative energy among the computed polymorphs = 3.091 kcal/mol of atoms
E_form (uncorrected) = -0.1428 eV/atom